This record from the Alexandria database describes a geometry-optimized ReW structure. The functional is GGA-PBE.

Structure (CIF):
```
data_ReW
_chemical_formula_sum 'Re4 W4'
_symmetry_space_group_name_H-M 'P 42/m n m'
_symmetry_Int_Tables_number 136
_symmetry_space_group_name_Hall '-P 4n 2n'
_cell_length_a 5.226
_cell_length_b 5.226
_cell_length_c 5.097
_cell_angle_alpha 90.00
_cell_angle_beta 90.00
_cell_angle_gamma 90.00
loop_
_atom_site_label
_atom_site_type_symbol
_atom_site_fract_x
_atom_site_fract_y
_atom_site_fract_z
_atom_site_occupancy
Re1 Re 0.195 0.195 0.000 1
W1 W 0.197 0.197 0.500 1
```

Calculated values
ΔE_f: 118.2 kJ/mol of atoms
DOS(E_F): 1.80 states/eV/f.u.
Crystal system: tetragonal
ρ: 17.7 g cm⁻³